# 1
The following is a DFT calculation (PBE) of crystalline Mg6GaBi at its relaxed geometry.

Cell lengths 6.343, 6.343, 5.368 Å; angles 90.00, 90.00, 120.88 degrees
Element x y z (fractional)
Mg: 0.164 0.332 0.000
Mg: 0.668 0.836 0.000
Mg: 0.667 0.333 0.000
Mg: 0.335 0.158 0.500
Mg: 0.842 0.665 0.500
Mg: 0.834 0.166 0.500
Ga: 0.152 0.848 0.000
Bi: 0.337 0.663 0.500

Values from the calculation:
ΔH_f (0 K): -4 kJ per mole of atoms
Symmetry: No. 38
Magnetic moment: 0.00 μB/f.u.
Offset from the most stable computed form: 3.1 meV per atom

---

# 2
The following is a DFT calculation (PBE) of crystalline GdYCdTc at its relaxed geometry.

Cell lengths 5.071, 5.071, 5.071 Å; angles 60.00, 60.00, 60.00 degrees
Last column: magnetic moment on the atom in μB.
Element x y z (fractional)
Y: 0.750 0.750 0.750  0.02
Gd: 0.250 0.250 0.250  7.08
Tc: 0.500 0.500 0.500  -0.12
Cd: 0.000 0.000 0.000  0.01

Values from the calculation:
ΔH_f (0 K): -7 kJ per mole of atoms
Symmetry: No. 216
Magnetic moment: 7.20 μB/f.u.

---

# 3
The following is a DFT calculation (PBE) of crystalline Rb2ZnCr at its relaxed geometry.

Cell lengths 12.992, 12.992, 9.543 Å; angles 47.10, 47.10, 90.00 degrees
Last column: magnetic moment on the atom in μB.
Element x y z (fractional)
Cr: 0.500 0.500 0.000  4.08
Cr: 0.250 0.750 0.500  4.08
Zn: 0.000 0.000 0.000  0.03
Zn: 0.750 0.250 0.500  0.03
Rb: 0.791 0.125 0.250  0.00
Rb: 0.959 0.625 0.250  0.00
Rb: 0.375 0.209 0.750  0.00
Rb: 0.875 0.041 0.750  0.00

Values from the calculation:
ΔH_f (0 K): 64 kJ per mole of atoms
Symmetry: No. 122
Magnetic moment: 4.71 μB/f.u.

---

# 4
The following is a DFT calculation (PBE) of crystalline Sm3ThCo at its relaxed geometry.

Cell lengths 7.059, 7.059, 6.641 Å; angles 78.21, 78.21, 107.16 degrees
Element x y z (fractional)
Sm: 0.579 0.037 0.234
Sm: 0.037 0.579 0.234
Sm: 0.963 0.421 0.766
Sm: 0.519 0.519 0.250
Sm: 0.421 0.963 0.766
Sm: 0.481 0.481 0.750
Th: 0.909 0.909 0.784
Th: 0.091 0.091 0.216
Co: 0.213 0.213 0.569
Co: 0.787 0.787 0.431

Values from the calculation:
ΔH_f (0 K): 2 kJ per mole of atoms
Symmetry: No. 12
Magnetic moment: 0.00 μB/f.u.

---

# 5
The following is a DFT calculation (PBE) of crystalline PmTiSb2 at its relaxed geometry.

Cell lengths 3.538, 3.538, 7.741 Å; angles 90.00, 90.00, 90.00 degrees
Last column: magnetic moment on the atom in μB.
Element x y z (fractional)
Sb: 0.000 0.000 0.786  -0.02
Sb: 0.000 0.000 0.214  -0.02
Ti: 0.500 0.500 0.000  0.71
Pm: 0.500 0.500 0.500  0.20

Values from the calculation:
Symmetry: No. 123
Magnetic moment: 1.23 μB/f.u.
Offset from the most stable computed form: 0.0 meV per atom

---

# 6
The following is a DFT calculation (PBE) of crystalline Nd2TlI at its relaxed geometry.

Cell lengths 3.930, 3.930, 10.006 Å; angles 78.67, 78.67, 60.00 degrees
Last column: magnetic moment on the atom in μB.
Element x y z (fractional)
Nd: 0.084 0.084 0.749  0.06
Nd: 0.249 0.249 0.252  0.22
Tl: 0.500 0.500 0.500  0.02
I: 0.667 0.667 0.999  0.00

Values from the calculation:
Symmetry: No. 160
Magnetic moment: 0.70 μB/f.u.
Offset from the most stable computed form: 110.5 meV per atom

---

# 7
The following is a DFT calculation (PBE) of crystalline Th6ZnSe5 at its relaxed geometry.

Cell lengths 7.323, 7.360, 7.294 Å; angles 59.70, 80.54, 70.98 degrees
Element x y z (fractional)
Zn: 0.000 0.000 0.000
Se: 0.500 0.168 0.664
Se: 0.000 0.335 0.331
Se: 0.500 0.500 0.000
Se: 0.000 0.665 0.669
Se: 0.500 0.832 0.336
Th: 0.754 0.081 0.331
Th: 0.246 0.588 0.331
Th: 0.249 0.245 0.000
Th: 0.751 0.755 0.000
Th: 0.754 0.412 0.669
Th: 0.246 0.919 0.669

Values from the calculation:
Symmetry: No. 12
E: -78.8 eV/cell
Magnetic moment: 0.00 μB/f.u.

---

# 8
The following is a DFT calculation (PBE) of crystalline BaInO2 at its relaxed geometry.

Cell lengths 7.439, 7.439, 7.439 Å; angles 27.07, 27.07, 27.07 degrees
Element x y z (fractional)
Ba: 0.000 0.000 0.000
O: 0.882 0.882 0.882
O: 0.118 0.118 0.118
In: 0.500 0.500 0.500

Values from the calculation:
Symmetry: No. 166
E: -19.8 eV/cell
Magnetic moment: 0.00 μB/f.u.

---

# 9
The following is a DFT calculation (PBE) of crystalline CrCdS2 at its relaxed geometry.

Cell lengths 9.016, 9.016, 9.016 Å; angles 19.78, 19.78, 19.78 degrees
Last column: magnetic moment on the atom in μB.
Element x y z (fractional)
Cr: 0.500 0.500 0.500  0.35
S: 0.888 0.888 0.888  -0.03
S: 0.112 0.112 0.112  -0.03
Cd: 0.000 0.000 0.000  -0.02

Values from the calculation:
Symmetry: No. 166
E: -20.4 eV/cell
Magnetic moment: 0.23 μB/f.u.

---

# 10
The following is a DFT calculation (PBE) of crystalline SrZrSeS2 at its relaxed geometry.

Cell lengths 5.131, 5.409, 5.131 Å; angles 90.00, 90.00, 90.00 degrees
Last column: magnetic moment on the atom in μB.
Element x y z (fractional)
Sr: 0.000 0.500 0.000  0.09
S: 0.000 0.000 0.500  -0.05
S: 0.500 0.000 0.000  -0.03
Se: 0.000 0.000 0.000  0.00
Zr: 0.500 0.500 0.500  1.49

Values from the calculation:
Symmetry: No. 123
E: -20.1 eV/cell
Magnetic moment: 2.54 μB/f.u.

---

# 11
The following is a DFT calculation (PBE) of crystalline ZrTl4Ru at its relaxed geometry.

Cell lengths 5.966, 5.966, 5.966 Å; angles 60.00, 60.00, 60.00 degrees
Last column: magnetic moment on the atom in μB.
Element x y z (fractional)
Zr: 0.750 0.750 0.750  -0.01
Tl: 0.375 0.876 0.375  0.01
Tl: 0.876 0.375 0.375  0.01
Tl: 0.375 0.375 0.876  0.01
Tl: 0.375 0.375 0.375  0.01
Ru: 0.000 0.000 0.000  1.56

Values from the calculation:
ΔH_f (0 K): 87 kJ per mole of atoms
Symmetry: No. 216
Magnetic moment: 1.65 μB/f.u.

---

# 12
The following is a DFT calculation (PBE) of crystalline Y2VZnH at its relaxed geometry.

Cell lengths 5.033, 5.033, 3.687 Å; angles 90.00, 90.00, 90.00 degrees
Last column: magnetic moment on the atom in μB.
Element x y z (fractional)
Y: 0.000 0.500 0.000  0.11
Y: 0.500 0.000 0.000  0.11
H: 0.000 0.000 0.000  -0.01
Zn: 0.500 0.500 0.500  0.00
V: 0.000 0.000 0.500  2.15

Values from the calculation:
Symmetry: No. 123
E: -27.2 eV/cell
Magnetic moment: 3.02 μB/f.u.

---

# 13
The following is a DFT calculation (PBE) of crystalline InOs2Pt at its relaxed geometry.

Cell lengths 2.852, 2.852, 7.891 Å; angles 90.00, 90.00, 90.00 degrees
Element x y z (fractional)
In: 0.500 0.500 0.750
Os: 0.000 0.000 0.015
Os: 0.000 0.000 0.485
Pt: 0.500 0.500 0.250

Values from the calculation:
ΔH_f (0 K): 48 kJ per mole of atoms
Symmetry: No. 123
Magnetic moment: 0.00 μB/f.u.
Offset from the most stable computed form: 405.6 meV per atom

---

# 14
The following is a DFT calculation (PBE) of crystalline NaSr2SiH at its relaxed geometry.

Cell lengths 5.178, 5.178, 4.504 Å; angles 90.00, 90.00, 90.00 degrees
Element x y z (fractional)
Sr: 0.000 0.500 0.000
Sr: 0.500 0.000 0.000
Si: 0.500 0.500 0.500
H: 0.000 0.000 0.000
Na: 0.000 0.000 0.500

Values from the calculation:
Symmetry: No. 123
E: -14.8 eV/cell
Magnetic moment: 0.00 μB/f.u.

---

# 15
The following is a DFT calculation (PBE) of crystalline MgBiH at its relaxed geometry.

Cell lengths 6.029, 4.690, 6.834 Å; angles 66.36, 90.08, 130.07 degrees
Element x y z (fractional)
Mg: 0.818 0.453 0.719
Mg: 0.903 0.619 0.166
Bi: 0.352 0.516 0.226
Bi: 0.377 0.569 0.754
H: 0.004 0.820 0.385
H: 0.709 0.232 0.051

Values from the calculation:
Symmetry: No. 1
Magnetic moment: 0.00 μB/f.u.
Offset from the most stable computed form: 91.8 meV per atom

---

# 16
The following is a DFT calculation (PBE) of crystalline TaCrN at its relaxed geometry.

Cell lengths 4.490, 3.017, 3.017 Å; angles 120.00, 90.00, 90.00 degrees
Last column: magnetic moment on the atom in μB.
Element x y z (fractional)
Cr: 0.235 0.333 0.667  0.39
N: 0.025 0.000 0.000  -0.01
Ta: 0.740 0.667 0.333  -0.05

Values from the calculation:
Symmetry: No. 156
E: -31.3 eV/cell
Magnetic moment: 0.32 μB/f.u.

---

# 17
The following is a DFT calculation (PBE) of crystalline HfHgOs2Rh at its relaxed geometry.

Cell lengths 4.765, 5.204, 4.765 Å; angles 90.00, 90.00, 90.00 degrees
Last column: magnetic moment on the atom in μB.
Element x y z (fractional)
Hf: 0.000 0.000 0.000  -0.06
Os: 0.000 0.000 0.500  0.39
Os: 0.500 0.000 0.000  0.43
Hg: 0.000 0.500 0.000  0.01
Rh: 0.500 0.500 0.500  0.75

Values from the calculation:
ΔH_f (0 K): 209 kJ per mole of atoms
Symmetry: No. 123
Magnetic moment: 1.62 μB/f.u.

---

# 18
The following is a DFT calculation (PBE) of crystalline Sm4Tl2Pt at its relaxed geometry.

Cell lengths 3.936, 6.601, 9.214 Å; angles 112.74, 102.33, 90.00 degrees
Element x y z (fractional)
Sm: 0.909 0.261 0.819
Sm: 0.091 0.739 0.181
Sm: 0.615 0.267 0.230
Sm: 0.385 0.733 0.770
Tl: 0.743 0.787 0.486
Tl: 0.257 0.213 0.514
Pt: 0.000 0.000 0.000

Values from the calculation:
ΔH_f (0 K): -43 kJ per mole of atoms
Symmetry: No. 12
Magnetic moment: 0.00 μB/f.u.

---

# 19
The following is a DFT calculation (PBE) of crystalline TaNCl2 at its relaxed geometry.

Cell lengths 4.272, 4.272, 4.272 Å; angles 60.00, 60.00, 60.00 degrees
Last column: magnetic moment on the atom in μB.
Element x y z (fractional)
N: 0.000 0.000 0.000  -0.52
Cl: 0.250 0.250 0.250  -0.05
Cl: 0.750 0.750 0.750  -0.05
Ta: 0.500 0.500 0.500  0.46

Values from the calculation:
Symmetry: No. 225
Magnetic moment: 0.22 μB/f.u.
Offset from the most stable computed form: 1460.0 meV per atom

---

# 20
The following is a DFT calculation (PBE) of crystalline Ca4NiBr at its relaxed geometry.

Cell lengths 6.736, 6.736, 6.736 Å; angles 60.00, 60.00, 60.00 degrees
Element x y z (fractional)
Ca: 0.872 0.376 0.376
Ca: 0.376 0.376 0.872
Ca: 0.376 0.872 0.376
Ca: 0.376 0.376 0.376
Ni: 0.750 0.750 0.750
Br: 0.000 0.000 0.000

Values from the calculation:
Symmetry: No. 216
E: -12.9 eV/cell
Magnetic moment: 0.00 μB/f.u.

---

# 21
The following is a DFT calculation (PBE) of crystalline AsOsS2N at its relaxed geometry.

Cell lengths 4.800, 4.800, 3.681 Å; angles 90.00, 90.00, 90.00 degrees
Element x y z (fractional)
As: 0.500 0.500 0.500
Os: 0.000 0.000 0.000
S: 0.000 0.500 0.000
S: 0.500 0.000 0.000
N: 0.000 0.000 0.500

Values from the calculation:
Symmetry: No. 123
Magnetic moment: 0.00 μB/f.u.
Offset from the most stable computed form: 0.0 meV per atom

---

# 22
The following is a DFT calculation (PBE) of crystalline Th4HgTe2As at its relaxed geometry.

Cell lengths 4.414, 7.611, 7.725 Å; angles 109.32, 90.00, 90.00 degrees
Element x y z (fractional)
Th: 0.500 0.252 0.230
Th: 0.500 0.748 0.770
Th: 0.000 0.268 0.776
Th: 0.000 0.732 0.224
Hg: 0.000 0.000 0.000
Te: 0.500 0.000 0.500
Te: 0.000 0.500 0.500
As: 0.500 0.500 0.000

Values from the calculation:
Symmetry: No. 10
E: -48.1 eV/cell
Magnetic moment: 0.00 μB/f.u.

---

# 23
The following is a DFT calculation (PBE) of crystalline BaBeNi3 at its relaxed geometry.

Cell lengths 4.313, 4.313, 4.313 Å; angles 90.00, 90.00, 90.00 degrees
Element x y z (fractional)
Ni: 0.000 0.500 0.000
Ni: 0.000 0.000 0.500
Ni: 0.500 0.000 0.000
Ba: 0.500 0.500 0.500
Be: 0.000 0.000 0.000

Values from the calculation:
ΔH_f (0 K): 21 kJ per mole of atoms
Symmetry: No. 221
Magnetic moment: 0.00 μB/f.u.
Offset from the most stable computed form: 0.0 meV per atom

---

# 24
The following is a DFT calculation (PBE) of crystalline SrMn2Ir at its relaxed geometry.

Cell lengths 5.945, 5.945, 5.945 Å; angles 149.44, 128.44, 61.13 degrees
Last column: magnetic moment on the atom in μB.
Element x y z (fractional)
Ir: 0.750 0.250 0.500  0.27
Mn: 0.953 0.953 0.000  3.79
Mn: 0.547 0.547 0.000  3.79
Sr: 0.250 0.750 0.500  -0.04

Values from the calculation:
ΔH_f (0 K): 39 kJ per mole of atoms
Symmetry: No. 71
Magnetic moment: 8.22 μB/f.u.

---

# 25
The following is a DFT calculation (PBE) of crystalline Np2Tl3GeTe6 at its relaxed geometry.

Cell lengths 7.757, 7.757, 8.458 Å; angles 98.79, 98.79, 120.01 degrees
Last column: magnetic moment on the atom in μB.
Element x y z (fractional)
Np: 0.334 0.666 0.000  3.76
Np: 0.666 0.334 0.000  3.76
Tl: 0.169 0.831 0.500  -0.01
Tl: 0.831 0.169 0.500  -0.01
Tl: 0.500 0.500 0.500  -0.01
Ge: 0.000 0.000 0.000  0.00
Te: 0.931 0.601 0.792  -0.08
Te: 0.739 0.739 0.209  -0.08
Te: 0.069 0.399 0.208  -0.08
Te: 0.601 0.931 0.792  -0.08
Te: 0.261 0.261 0.791  -0.08
Te: 0.399 0.069 0.208  -0.08

Values from the calculation:
Symmetry: No. 12
E: -61.8 eV/cell
Magnetic moment: 7.00 μB/f.u.

---

# 26
The following is a DFT calculation (PBE) of crystalline PmPrPaN3 at its relaxed geometry.

Cell lengths 3.538, 6.039, 9.518 Å; angles 96.22, 90.00, 90.00 degrees
Element x y z (fractional)
Pm: 0.250 0.182 0.624
Pm: 0.750 0.818 0.376
Pr: 0.750 0.710 0.726
Pr: 0.250 0.290 0.274
Pa: 0.250 0.758 0.053
Pa: 0.750 0.242 0.947
N: 0.250 0.785 0.545
N: 0.750 0.018 0.130
N: 0.750 0.529 0.134
N: 0.750 0.215 0.455
N: 0.250 0.471 0.866
N: 0.250 0.982 0.870

Values from the calculation:
Symmetry: No. 11
E: -104.4 eV/cell
Magnetic moment: 0.00 μB/f.u.

---

# 27
The following is a DFT calculation (PBE) of crystalline BaPmBr5 at its relaxed geometry.

Cell lengths 5.928, 7.357, 10.777 Å; angles 89.00, 74.04, 86.38 degrees
Element x y z (fractional)
Ba: 0.327 0.250 0.346
Ba: 0.673 0.750 0.654
Pm: 0.077 0.250 0.845
Pm: 0.923 0.750 0.155
Br: 0.211 0.401 0.067
Br: 0.196 0.503 0.620
Br: 0.372 0.750 0.256
Br: 0.185 0.997 0.620
Br: 0.279 0.901 0.933
Br: 0.721 0.099 0.067
Br: 0.815 0.003 0.380
Br: 0.628 0.250 0.744
Br: 0.804 0.497 0.380
Br: 0.789 0.599 0.933

Values from the calculation:
Symmetry: No. 15
E: -58.0 eV/cell
Magnetic moment: 0.00 μB/f.u.